Entry 1:
# Tb2Pr3Nd6Mg | the Alexandria database | GGA-PBE | relaxed
# formation energy from the elements	0.03	eV/atom
# crystal system	monoclinic
# mass density	6.6	g cm⁻³
data_Tb2Pr3Nd6Mg
_symmetry_space_group_name_H-M 'C 1 2/m 1'
_symmetry_Int_Tables_number 12
_cell_length_a 6.317
_cell_length_b 10.960
_cell_length_c 11.989
_cell_angle_alpha 90.00
_cell_angle_beta 100.22
_cell_angle_gamma 90.00
loop_
_symmetry_equiv_pos_as_xyz
'x,y,z'
'-x,-y,-z'
'-x,y,-z'
'x,-y,z'
'x+1/2,y+1/2,z'
'-x+1/2,-y+1/2,-z'
'-x+1/2,y+1/2,-z'
'x+1/2,-y+1/2,z'
loop_
_atom_site_label
_atom_site_type_symbol
_atom_site_fract_x
_atom_site_fract_y
_atom_site_fract_z
_atom_site_occupancy
Tb1 Tb 0.000 0.167 0.000 1
Pr1 Pr 0.000 0.000 0.500 1
Pr2 Pr 0.000 0.333 0.500 1
Nd1 Nd 0.246 0.334 0.244 1
Nd2 Nd 0.249 0.000 0.245 1
Mg1 Mg 0.000 0.500 0.000 1



Entry 2:
# TbPr6Nd2Mg | the Alexandria database | GGA-PBE | relaxed
# formation energy from the elements	0.10	eV/atom
# crystal system	monoclinic
# mass density	6.3	g cm⁻³
data_TbPr6Nd2Mg
_symmetry_space_group_name_H-M 'C 1 2/c 1'
_symmetry_Int_Tables_number 15
_cell_length_a 10.586
_cell_length_b 13.891
_cell_length_c 9.586
_cell_angle_alpha 90.00
_cell_angle_beta 99.89
_cell_angle_gamma 90.00
loop_
_symmetry_equiv_pos_as_xyz
'x,y,z'
'-x,-y,-z'
'-x,y,-z+1/2'
'x,-y,z+1/2'
'x+1/2,y+1/2,z'
'-x+1/2,-y+1/2,-z'
'-x+1/2,y+1/2,-z+1/2'
'x+1/2,-y+1/2,z+1/2'
loop_
_atom_site_label
_atom_site_type_symbol
_atom_site_fract_x
_atom_site_fract_y
_atom_site_fract_z
_atom_site_occupancy
Tb1 Tb 0.000 0.065 0.250 1
Pr1 Pr 0.052 0.381 0.095 1
Pr2 Pr 0.090 0.169 0.925 1
Pr3 Pr 0.248 0.215 0.326 1
Nd1 Nd 0.234 0.033 0.592 1
Mg1 Mg 0.000 0.401 0.750 1



Entry 3:
# Tb5PrNd2Mg | the Alexandria database | GGA-PBE | relaxed
# formation energy from the elements	0.09	eV/atom
# crystal system	orthorhombic
# mass density	7.0	g cm⁻³
data_Tb5PrNd2Mg
_symmetry_space_group_name_H-M 'C m c 21'
_symmetry_Int_Tables_number 36
_cell_length_a 5.522
_cell_length_b 20.139
_cell_length_c 10.679
_cell_angle_alpha 90.00
_cell_angle_beta 90.00
_cell_angle_gamma 90.00
loop_
_symmetry_equiv_pos_as_xyz
'x,y,z'
'-x,-y,z+1/2'
'-x,y,z'
'x,-y,z+1/2'
'x+1/2,y+1/2,z'
'-x+1/2,-y+1/2,z+1/2'
'-x+1/2,y+1/2,z'
'x+1/2,-y+1/2,z+1/2'
loop_
_atom_site_label
_atom_site_type_symbol
_atom_site_fract_x
_atom_site_fract_y
_atom_site_fract_z
_atom_site_occupancy
Tb1 Tb 0.000 0.000 0.000 1
Tb2 Tb 0.000 0.114 0.250 1
Tb3 Tb 0.000 0.209 0.951 1
Tb4 Tb 0.000 0.210 0.550 1
Tb5 Tb 0.000 0.486 0.250 1
Pr1 Pr 0.000 0.295 0.250 1
Nd1 Nd 0.000 0.385 0.542 1
Nd2 Nd 0.000 0.385 0.959 1
Mg1 Mg 0.000 0.093 0.749 1



Entry 4:
# Tb2Pr2Nd4Mg | the Alexandria database | GGA-PBE | relaxed
# formation energy from the elements	0.13	eV/atom
# crystal system	triclinic
# mass density	6.4	g cm⁻³
data_Tb2Pr2Nd4Mg
_symmetry_space_group_name_H-M 'P -1'
_symmetry_Int_Tables_number 2
_cell_length_a 6.729
_cell_length_b 6.951
_cell_length_c 7.882
_cell_angle_alpha 86.57
_cell_angle_beta 72.38
_cell_angle_gamma 63.30
loop_
_symmetry_equiv_pos_as_xyz
'x,y,z'
'-x,-y,-z'
loop_
_atom_site_label
_atom_site_type_symbol
_atom_site_fract_x
_atom_site_fract_y
_atom_site_fract_z
_atom_site_occupancy
Tb1 Tb 0.092 0.139 0.102 1
Pr1 Pr 0.469 0.835 0.682 1
Nd1 Nd 0.001 0.378 0.716 1
Nd2 Nd 0.470 0.339 0.847 1
Mg1 Mg 0.000 0.000 0.500 1



Entry 5:
# Tb6Pr3Nd2Mg | the Alexandria database | GGA-PBE | relaxed
# formation energy from the elements	0.02	eV/atom
# crystal system	monoclinic
# mass density	7.1	g cm⁻³
data_Tb6Pr3Nd2Mg
_symmetry_space_group_name_H-M 'C 1 2/m 1'
_symmetry_Int_Tables_number 12
_cell_length_a 6.223
_cell_length_b 10.787
_cell_length_c 11.926
_cell_angle_alpha 90.00
_cell_angle_beta 100.07
_cell_angle_gamma 90.00
loop_
_symmetry_equiv_pos_as_xyz
'x,y,z'
'-x,-y,-z'
'-x,y,-z'
'x,-y,z'
'x+1/2,y+1/2,z'
'-x+1/2,-y+1/2,-z'
'-x+1/2,y+1/2,-z'
'x+1/2,-y+1/2,z'
loop_
_atom_site_label
_atom_site_type_symbol
_atom_site_fract_x
_atom_site_fract_y
_atom_site_fract_z
_atom_site_occupancy
Tb1 Tb 0.248 0.166 0.247 1
Tb2 Tb 0.249 0.000 0.752 1
Pr1 Pr 0.000 0.166 0.500 1
Pr2 Pr 0.000 0.500 0.500 1
Nd1 Nd 0.000 0.333 0.000 1
Mg1 Mg 0.000 0.000 0.000 1



Entry 6:
# Tb3Pr6Nd2Mg | the Alexandria database | GGA-PBE | relaxed
# formation energy from the elements	0.01	eV/atom
# crystal system	monoclinic
# mass density	6.7	g cm⁻³
data_Tb3Pr6Nd2Mg
_symmetry_space_group_name_H-M 'C 1 2/m 1'
_symmetry_Int_Tables_number 12
_cell_length_a 6.305
_cell_length_b 10.925
_cell_length_c 11.983
_cell_angle_alpha 90.00
_cell_angle_beta 100.13
_cell_angle_gamma 90.00
loop_
_symmetry_equiv_pos_as_xyz
'x,y,z'
'-x,-y,-z'
'-x,y,-z'
'x,-y,z'
'x+1/2,y+1/2,z'
'-x+1/2,-y+1/2,-z'
'-x+1/2,y+1/2,-z'
'x+1/2,-y+1/2,z'
loop_
_atom_site_label
_atom_site_type_symbol
_atom_site_fract_x
_atom_site_fract_y
_atom_site_fract_z
_atom_site_occupancy
Tb1 Tb 0.000 0.000 0.000 1
Tb2 Tb 0.000 0.334 0.000 1
Pr1 Pr 0.248 0.335 0.751 1
Pr2 Pr 0.248 0.500 0.248 1
Nd1 Nd 0.000 0.167 0.500 1
Mg1 Mg 0.000 0.500 0.500 1



Entry 7:
# Tb6Pr2NdMg | the Alexandria database | GGA-PBE | relaxed
# formation energy from the elements	0.12	eV/atom
# crystal system	monoclinic
# mass density	7.2	g cm⁻³
data_Tb6Pr2NdMg
_symmetry_space_group_name_H-M 'C 1 2/c 1'
_symmetry_Int_Tables_number 15
_cell_length_a 9.230
_cell_length_b 15.181
_cell_length_c 9.311
_cell_angle_alpha 90.00
_cell_angle_beta 94.51
_cell_angle_gamma 90.00
loop_
_symmetry_equiv_pos_as_xyz
'x,y,z'
'-x,-y,-z'
'-x,y,-z+1/2'
'x,-y,z+1/2'
'x+1/2,y+1/2,z'
'-x+1/2,-y+1/2,-z'
'-x+1/2,y+1/2,-z+1/2'
'x+1/2,-y+1/2,z+1/2'
loop_
_atom_site_label
_atom_site_type_symbol
_atom_site_fract_x
_atom_site_fract_y
_atom_site_fract_z
_atom_site_occupancy
Tb1 Tb 0.048 0.184 0.444 1
Tb2 Tb 0.105 0.388 0.606 1
Tb3 Tb 0.212 0.216 0.800 1
Pr1 Pr 0.235 0.445 0.949 1
Nd1 Nd 0.000 0.022 0.750 1
Mg1 Mg 0.000 0.412 0.250 1



Entry 8:
# Tb6PrNd2Mg | the Alexandria database | GGA-PBE | relaxed
# formation energy from the elements	0.11	eV/atom
# crystal system	monoclinic
# mass density	7.2	g cm⁻³
data_Tb6PrNd2Mg
_symmetry_space_group_name_H-M 'C 1 2/c 1'
_symmetry_Int_Tables_number 15
_cell_length_a 10.033
_cell_length_b 19.682
_cell_length_c 6.709
_cell_angle_alpha 90.00
_cell_angle_beta 99.42
_cell_angle_gamma 90.00
loop_
_symmetry_equiv_pos_as_xyz
'x,y,z'
'-x,-y,-z'
'-x,y,-z+1/2'
'x,-y,z+1/2'
'x+1/2,y+1/2,z'
'-x+1/2,-y+1/2,-z'
'-x+1/2,y+1/2,-z+1/2'
'x+1/2,-y+1/2,z+1/2'
loop_
_atom_site_label
_atom_site_type_symbol
_atom_site_fract_x
_atom_site_fract_y
_atom_site_fract_z
_atom_site_occupancy
Tb1 Tb 0.060 0.147 0.030 1
Tb2 Tb 0.114 0.411 0.982 1
Tb3 Tb 0.176 0.260 0.721 1
Pr1 Pr 0.000 0.008 0.750 1
Nd1 Nd 0.231 0.418 0.498 1
Mg1 Mg 0.000 0.292 0.250 1



Which value of mass density does entry 7 give?
7.2 g cm⁻³



What is the mass density in the eighth record?
7.2 g cm⁻³